# Ta2CoTc

A relaxed Ta2CoTc crystal (PBE, Alexandria via LeMat-Bulk).

## Properties
Offset from the most stable computed form, eV/atom: 0.172
Total magnetic moment, μB per cell: 1.08
Space-group type: Imm2
Total DFT energy (no corrections), eV/atom: -10.401
Mass density, Mg/m³: 13.83

Unit cell a=5.2364 b=5.2364 c=5.2364 alpha=144.55 beta=130.88 gamma=62.03
Element x y z (fractional)
Ta: 0.0000 0.0000 0.0000
Ta: 0.7413 0.2413 0.5000
Co: 0.4983 0.4983 0.0000
Tc: 0.2397 0.7397 0.5000

=====

# Sm4CdHg3

A relaxed Sm4CdHg3 crystal (PBE, Alexandria via LeMat-Bulk).

## Properties
Total magnetic moment, μB per cell: 1.76
Space-group type: I4/mmm
Total DFT energy (no corrections), eV/atom: -3.019
Mass density, Mg/m³: 9.97

Unit cell a=8.5248 b=8.5248 c=8.5248 alpha=143.38 beta=143.38 gamma=52.75
Element x y z (fractional)
Sm: 0.1255 0.6255 0.5000
Sm: 0.3745 0.8745 0.5000
Sm: 0.6255 0.1255 0.5000
Sm: 0.8745 0.3745 0.5000
Cd: 0.0000 0.0000 0.0000
Hg: 0.2495 0.2495 0.0000
Hg: 0.5000 0.5000 0.0000
Hg: 0.7505 0.7505 0.0000

=====

# Rb2AgSn3Pb4

A relaxed Rb2AgSn3Pb4 crystal (PBE, Alexandria via LeMat-Bulk).

## Properties
Total magnetic moment, μB per cell: 0.00
Space-group type: P-4m2
Total DFT energy (no corrections), eV/atom: -3.227
Mass density, Mg/m³: 6.85

Unit cell a=5.1591 b=5.1591 c=13.3381 alpha=90.00 beta=90.00 gamma=90.00
Element x y z (fractional)
Rb: 0.0000 0.5000 0.2424
Rb: 0.5000 0.0000 0.7576
Ag: 0.5000 0.5000 0.0000
Sn: 0.0000 0.0000 0.0000
Sn: 0.0000 0.5000 0.6358
Sn: 0.5000 0.0000 0.3642
Pb: 0.0000 0.0000 0.5000
Pb: 0.0000 0.5000 0.8763
Pb: 0.5000 0.0000 0.1237
Pb: 0.5000 0.5000 0.5000

=====

# SrVH

A relaxed SrVH crystal (PBE, Alexandria via LeMat-Bulk).

## Properties
Offset from the most stable computed form, eV/atom: 0.077
Total magnetic moment, μB per cell: 0.00
Space-group type: P-1
Total DFT energy (no corrections), eV/atom: -4.521
Mass density, Mg/m³: 3.64

Unit cell a=4.2784 b=5.6076 c=5.9975 alpha=62.62 beta=85.07 gamma=86.02
Element x y z (fractional)
Sr: 0.2468 0.3223 0.3204
Sr: 0.7532 0.6777 0.6796
V: 0.2118 0.9967 0.9506
V: 0.7882 0.0033 0.0494
H: 0.2188 0.8832 0.7137
H: 0.7812 0.1168 0.2863

=====

# KTlI2N

A relaxed KTlI2N crystal (PBE, Alexandria via LeMat-Bulk).

## Properties
Uncorrected formation energy, eV per atom: 0.363
Offset from the most stable computed form, eV/atom: 0.254
Total magnetic moment, μB per cell: 3.02
Space-group type: P4/mmm
Total DFT energy (no corrections), eV/atom: -2.615
Mass density, Mg/m³: 3.65

Unit cell a=6.5977 b=6.5977 c=5.3382 alpha=90.00 beta=90.00 gamma=90.00
Element x y z (fractional)
K: 0.0000 0.0000 0.0000
Tl: 0.5000 0.5000 0.5000
I: 0.0000 0.5000 0.0000
I: 0.5000 0.0000 0.0000
N: 0.0000 0.0000 0.5000

=====

# LuZr3O

A relaxed LuZr3O crystal (PBE, Alexandria via LeMat-Bulk).

## Properties
Uncorrected formation energy, eV per atom: -1.011
Total magnetic moment, μB per cell: 0.00
Space-group type: Pm-3m
Total DFT energy (no corrections), eV/atom: -8.036
Mass density, Mg/m³: 7.82

Unit cell a=4.6210 b=4.6210 c=4.6210 alpha=90.00 beta=90.00 gamma=90.00
Element x y z (fractional)
Lu: 0.0000 0.0000 0.0000
Zr: 0.0000 0.5000 0.5000
Zr: 0.5000 0.0000 0.5000
Zr: 0.5000 0.5000 0.0000
O: 0.5000 0.5000 0.5000